Record 1
RbLiTe2: relaxed, PBE-GGA.

Unit cell a=5.042 b=7.754 c=8.611 alpha=99.84 beta=106.94 gamma=100.38
Atoms (fractional coordinates):
Rb 0.000 0.000 0.000
Rb 0.196 0.431 0.708
Li 0.119 0.697 0.337
Li 0.755 0.902 0.498
Te 0.319 0.908 0.657
Te 0.475 0.170 0.434
Te 0.527 0.683 0.171
Te 0.706 0.364 0.214

## Properties
E above lowest polymorph   12 meV/atom
Final energy   -3.0718 eV/atom
Total magnetization   0.000 μB/f.u.

=====

Record 2
RbLi3Te3: relaxed, PBE-GGA.

Unit cell a=7.649 b=7.649 c=7.649 alpha=90.00 beta=90.00 gamma=90.00
Atoms (fractional coordinates):
Rb 0.000 0.000 0.000
Rb 0.500 0.500 0.500
Li 0.000 0.250 0.500
Li 0.000 0.750 0.500
Li 0.250 0.500 0.000
Li 0.500 0.000 0.250
Li 0.500 0.000 0.750
Li 0.750 0.500 0.000
Te 0.000 0.500 0.250
Te 0.000 0.500 0.750
Te 0.250 0.000 0.500
Te 0.500 0.250 0.000
Te 0.500 0.750 0.000
Te 0.750 0.000 0.500

## Properties
Final energy   -3.0026 eV/atom
Total magnetization   0.024 μB/f.u.

=====

Record 3
RbLi2Te2: relaxed, PBE-GGA.

Unit cell a=9.296 b=8.008 c=6.903 alpha=76.73 beta=56.98 gamma=46.29
Atoms (fractional coordinates):
Rb 0.125 0.125 0.125
Rb 0.875 0.875 0.875
Li 0.268 0.268 0.482
Li 0.482 0.482 0.268
Li 0.518 0.518 0.732
Li 0.732 0.732 0.518
Te 0.173 0.577 0.173
Te 0.423 0.827 0.423
Te 0.577 0.173 0.577
Te 0.827 0.423 0.827

## Properties
E above lowest polymorph   18 meV/atom
Final energy   -3.0863 eV/atom
Total magnetization   0.000 μB/f.u.

=====

Record 4
RbLiTe2: relaxed, PBE-GGA.

Unit cell a=7.123 b=6.871 c=13.089 alpha=90.00 beta=117.32 gamma=90.00
Atoms (fractional coordinates):
Rb 0.248 0.024 0.189
Rb 0.248 0.476 0.689
Rb 0.752 0.524 0.311
Rb 0.752 0.976 0.811
Li 0.327 0.065 0.516
Li 0.327 0.435 0.016
Li 0.673 0.565 0.984
Li 0.673 0.935 0.484
Te 0.089 0.527 0.126
Te 0.089 0.973 0.626
Te 0.353 0.656 0.441
Te 0.353 0.844 0.941
Te 0.647 0.156 0.059
Te 0.647 0.344 0.559
Te 0.911 0.027 0.374
Te 0.911 0.473 0.874

## Properties
E above lowest polymorph   61 meV/atom
Final energy   -3.0227 eV/atom
Total magnetization   0.000 μB/f.u.

=====

Record 5
RbLiTe2: relaxed, PBE-GGA.

Unit cell a=4.870 b=4.870 c=6.773 alpha=90.00 beta=90.00 gamma=90.00
Atoms (fractional coordinates):
Rb 0.000 0.000 0.000
Li 0.500 0.500 0.500
Te 0.000 0.000 0.500
Te 0.500 0.500 0.000

## Properties
E above lowest polymorph   594 meV/atom
Final energy   -2.4905 eV/atom
Total magnetization   1.999 μB/f.u.

=====

Record 6
RbLiTe2: relaxed, PBE-GGA.

Unit cell a=11.094 b=11.094 c=11.094 alpha=20.30 beta=20.30 gamma=20.30
Atoms (fractional coordinates):
Rb 0.000 0.000 0.000
Li 0.500 0.500 0.500
Te 0.420 0.420 0.420
Te 0.580 0.580 0.580

## Properties
E above lowest polymorph   456 meV/atom
Final energy   -2.6280 eV/atom
Total magnetization   0.000 μB/f.u.

=====

Record 7
RbLiTe2: relaxed, PBE-GGA.

Unit cell a=4.960 b=6.854 c=8.979 alpha=101.06 beta=92.17 gamma=100.43
Atoms (fractional coordinates):
Rb 0.090 0.328 0.181
Rb 0.910 0.672 0.819
Li 0.224 0.913 0.404
Li 0.776 0.087 0.596
Te 0.327 0.285 0.614
Te 0.480 0.870 0.132
Te 0.520 0.130 0.868
Te 0.673 0.715 0.386

## Properties
E above lowest polymorph   4 meV/atom
Final energy   -3.0804 eV/atom
Total magnetization   0.000 μB/f.u.

=====

Record 8
Rb3LiTe2: relaxed, PBE-GGA.

Unit cell a=9.647 b=9.647 c=9.647 alpha=124.99 beta=73.89 gamma=134.76
Atoms (fractional coordinates):
Rb 0.173 0.683 0.855
Rb 0.250 0.250 0.000
Rb 0.327 0.183 0.510
Rb 0.673 0.817 0.490
Rb 0.750 0.750 0.000
Rb 0.827 0.317 0.145
Li 0.250 0.750 0.500
Li 0.750 0.250 0.500
Te 0.099 0.302 0.401
Te 0.401 0.802 0.204
Te 0.599 0.198 0.796
Te 0.901 0.698 0.599

## Properties
Final energy   -2.8253 eV/atom
Total magnetization   0.000 μB/f.u.

=====

Record 9
RbLiTe2: relaxed, PBE-GGA.

Unit cell a=6.348 b=6.348 c=3.230 alpha=90.00 beta=90.00 gamma=90.00
Atoms (fractional coordinates):
Rb 0.000 0.000 0.000
Li 0.500 0.500 0.000
Te 0.000 0.500 0.500
Te 0.500 0.000 0.500

## Properties
E above lowest polymorph   249 meV/atom
Final energy   -2.8346 eV/atom
Total magnetization   0.000 μB/f.u.

=====

Record 10
RbLiTe2: relaxed, PBE-GGA.

Unit cell a=8.905 b=8.905 c=6.475 alpha=97.99 beta=97.99 gamma=140.92
Atoms (fractional coordinates):
Rb 0.180 0.820 0.750
Rb 0.820 0.180 0.250
Li 0.476 0.524 0.250
Li 0.524 0.476 0.750
Te 0.160 0.379 0.826
Te 0.379 0.160 0.326
Te 0.621 0.840 0.674
Te 0.840 0.621 0.174

## Properties
E above lowest polymorph   19 meV/atom
Final energy   -3.0650 eV/atom
Total magnetization   0.000 μB/f.u.

=====

Record 11
RbLi3Te: relaxed, PBE-GGA.

Unit cell a=5.611 b=5.611 c=5.611 alpha=90.00 beta=90.00 gamma=90.00
Atoms (fractional coordinates):
Rb 0.000 0.000 0.000
Li 0.000 0.000 0.500
Li 0.000 0.500 0.000
Li 0.500 0.000 0.000
Te 0.500 0.500 0.500

## Properties
E above lowest polymorph   881 meV/atom
Final energy   -1.4598 eV/atom
Total magnetization   0.000 μB/f.u.

=====

Record 12
RbLiTe2: relaxed, PBE-GGA.

Unit cell a=7.311 b=7.311 c=7.311 alpha=113.93 beta=113.93 gamma=100.88
Atoms (fractional coordinates):
Rb 0.250 0.250 0.000
Rb 0.750 0.750 0.000
Li 0.250 0.750 0.500
Li 0.750 0.250 0.500
Te 0.127 0.627 0.754
Te 0.373 0.127 0.500
Te 0.627 0.873 0.500
Te 0.873 0.373 0.246

## Properties
E above lowest polymorph   38 meV/atom
Final energy   -3.0465 eV/atom
Total magnetization   0.000 μB/f.u.

=====

Record 13
RbLiTe2: relaxed, PBE-GGA.

Unit cell a=4.722 b=6.001 c=6.336 alpha=99.98 beta=110.68 gamma=90.44
Atoms (fractional coordinates):
Rb 0.000 0.000 0.000
Li 0.217 0.524 0.461
Te 0.671 0.762 0.362
Te 0.730 0.259 0.490

## Properties
E above lowest polymorph   58 meV/atom
Final energy   -3.0262 eV/atom
Total magnetization   0.000 μB/f.u.

=====

Record 14
RbLiTe2: relaxed, PBE-GGA.

Unit cell a=5.004 b=7.598 c=8.522 alpha=76.97 beta=78.88 gamma=71.62
Atoms (fractional coordinates):
Rb 0.000 0.000 0.000
Rb 0.061 0.242 0.424
Li 0.247 0.639 0.562
Li 0.663 0.541 0.814
Te 0.091 0.492 0.998
Te 0.435 0.284 0.742
Te 0.581 0.703 0.263
Te 0.672 0.834 0.530

## Properties
E above lowest polymorph   8 meV/atom
Final energy   -3.0761 eV/atom
Total magnetization   0.000 μB/f.u.

=====

Record 15
RbLiTe2: relaxed, PBE-GGA.

Unit cell a=10.150 b=10.150 c=10.150 alpha=144.89 beta=144.89 gamma=50.49
Atoms (fractional coordinates):
Rb 0.375 0.625 0.750
Rb 0.625 0.375 0.250
Li 0.125 0.875 0.250
Li 0.875 0.125 0.750
Te 0.019 0.269 0.750
Te 0.269 0.019 0.250
Te 0.731 0.981 0.750
Te 0.981 0.731 0.250

## Properties
E above lowest polymorph   129 meV/atom
Final energy   -2.9550 eV/atom
Total magnetization   0.000 μB/f.u.

=====

Record 16
RbLi2Te2: relaxed, PBE-GGA.

Unit cell a=9.225 b=9.225 c=3.477 alpha=90.00 beta=90.00 gamma=90.00
Atoms (fractional coordinates):
Rb 0.000 0.000 0.000
Rb 0.500 0.500 0.000
Li 0.115 0.385 0.500
Li 0.385 0.885 0.500
Li 0.615 0.115 0.500
Li 0.885 0.615 0.500
Te 0.158 0.658 0.000
Te 0.342 0.158 0.000
Te 0.658 0.842 0.000
Te 0.842 0.342 0.000

## Properties
E above lowest polymorph   148 meV/atom
Final energy   -2.9561 eV/atom
Total magnetization   0.000 μB/f.u.

=====

Record 17
RbLiTe2: relaxed, PBE-GGA.

Unit cell a=9.978 b=9.978 c=9.978 alpha=145.22 beta=145.22 gamma=50.01
Atoms (fractional coordinates):
Rb 0.000 0.000 0.000
Rb 0.750 0.250 0.500
Li 0.250 0.750 0.500
Li 0.500 0.500 0.000
Te 0.313 0.625 0.188
Te 0.375 0.563 0.688
Te 0.437 0.125 0.812
Te 0.875 0.687 0.312

## Properties
E above lowest polymorph   0 meV/atom
Final energy   -3.0841 eV/atom
Total magnetization   0.000 μB/f.u.

=====

Record 18
RbLiTe2: relaxed, PBE-GGA.

Unit cell a=8.115 b=4.690 c=16.244 alpha=90.00 beta=90.00 gamma=90.00
Atoms (fractional coordinates):
Rb 0.248 0.250 0.066
Rb 0.252 0.750 0.566
Rb 0.748 0.250 0.434
Rb 0.752 0.750 0.934
Li 0.241 0.750 0.289
Li 0.259 0.250 0.789
Li 0.741 0.750 0.211
Li 0.759 0.250 0.711
Te 0.003 0.750 0.750
Te 0.248 0.250 0.392
Te 0.252 0.750 0.892
Te 0.497 0.250 0.250
Te 0.503 0.750 0.750
Te 0.748 0.250 0.108
Te 0.752 0.750 0.608
Te 0.997 0.250 0.250

## Properties
E above lowest polymorph   69 meV/atom
Final energy   -3.0155 eV/atom
Total magnetization   0.000 μB/f.u.

=====

Record 19
RbLiTe2: relaxed, PBE-GGA.

Unit cell a=6.007 b=7.435 c=7.436 alpha=78.73 beta=84.57 gamma=84.52
Atoms (fractional coordinates):
Rb 0.000 0.000 0.000
Rb 0.415 0.651 0.651
Li 0.207 0.191 0.461
Li 0.707 0.306 0.345
Te 0.047 0.550 0.310
Te 0.366 0.341 0.102
Te 0.540 0.142 0.711
Te 0.875 0.940 0.509

## Properties
E above lowest polymorph   15 meV/atom
Final energy   -3.0695 eV/atom
Total magnetization   0.000 μB/f.u.

=====

Record 20
Rb2Li2Te: relaxed, PBE-GGA.

Unit cell a=7.868 b=7.868 c=5.925 alpha=90.00 beta=90.00 gamma=90.00
Atoms (fractional coordinates):
Rb 0.200 0.300 0.000
Rb 0.300 0.800 0.000
Rb 0.700 0.200 0.000
Rb 0.800 0.700 0.000
Li 0.142 0.642 0.500
Li 0.358 0.142 0.500
Li 0.642 0.858 0.500
Li 0.858 0.358 0.500
Te 0.000 0.000 0.500
Te 0.500 0.500 0.500

## Properties
Final energy   -2.1542 eV/atom
Total magnetization   0.000 μB/f.u.

=====

Record 21
RbLiTe2: relaxed, PBE-GGA.

Unit cell a=13.482 b=13.482 c=6.271 alpha=90.00 beta=90.00 gamma=164.90
Atoms (fractional coordinates):
Rb 0.182 0.818 0.750
Rb 0.818 0.182 0.250
Li 0.418 0.582 0.750
Li 0.582 0.418 0.250
Te 0.321 0.679 0.750
Te 0.484 0.516 0.250
Te 0.516 0.484 0.750
Te 0.679 0.321 0.250

## Properties
E above lowest polymorph   197 meV/atom
Final energy   -2.8873 eV/atom
Total magnetization   0.000 μB/f.u.

=====

Record 22
RbLi2Th2Te6: relaxed, PBE-GGA.

Unit cell a=7.300 b=8.008 c=8.237 alpha=60.92 beta=88.29 gamma=86.55
Atoms (fractional coordinates):
Rb 0.000 0.000 0.000
Li 0.500 0.326 0.348
Li 0.500 0.674 0.652
Th 0.000 0.325 0.350
Th 0.000 0.675 0.650
Te 0.255 0.557 0.000
Te 0.262 0.375 0.607
Te 0.262 0.983 0.392
Te 0.738 0.017 0.608
Te 0.738 0.625 0.393
Te 0.745 0.443 0.000

## Properties
Final energy   -4.5104 eV/atom
Total magnetization   0.000 μB/f.u.

=====

Record 23
RbLi3Th2Te6: relaxed, PBE-GGA.

Unit cell a=9.425 b=9.425 c=10.560 alpha=98.48 beta=98.48 gamma=27.98
Atoms (fractional coordinates):
Rb 0.000 0.000 0.000
Li 0.000 0.000 0.500
Li 0.347 0.347 0.285
Li 0.653 0.653 0.715
Th 0.336 0.336 0.667
Th 0.664 0.664 0.333
Te 0.162 0.162 0.549
Te 0.200 0.200 0.152
Te 0.499 0.499 0.284
Te 0.501 0.501 0.716
Te 0.800 0.800 0.848
Te 0.838 0.838 0.451

## Properties
Final energy   -4.4621 eV/atom
Total magnetization   0.000 μB/f.u.